Entry from Alexandria: crystalline TcHgSe2 at its relaxed geometry (PBE).

```
TcHgSe2
1.0
-12.422 6.169 5.596
0.170 -3.060 3.752
6.207 1.219 0.712
Se Tc Hg
8 4 4
Cartesian
0.362 2.878 3.178
-3.794 1.012 5.026
-8.914 4.652 6.480
2.869 -0.324 3.580
-2.251 3.316 5.033
-6.406 1.450 6.881
0.821 0.271 1.084
-6.865 4.057 8.975
-4.347 3.318 3.619
-11.058 4.315 7.864
5.013 0.013 2.195
-1.697 1.010 6.441
-0.462 0.103 4.020
-2.517 1.291 1.955
-5.583 4.225 6.039
-3.527 3.037 8.105
```

- total moment (μB/f.u.) = 0.000
- raw formation energy (kJ/mol of atoms) = 1